Arrangement w

A relaxed CrSi2H crystal, computed with GGA-PBE.

Cell: 4.0587 4.0587 4.0587 Å, 60.00 60.00 60.00°
Last column: nearest neighbours and their distance in Å.
Sites, in units of the cell vectors:
Si  0.7500  0.7500  0.7500  4 Cr 2.49, 4 H 2.49
Si  0.2500  0.2500  0.2500  4 Cr 2.49, 4 H 2.49
H  0.0000  0.0000  0.0000  8 Si 2.49
Cr  0.5000  0.5000  0.5000  8 Si 2.49



Arrangement x

A relaxed CrSi2H crystal, computed with GGA-PBE.

Cell: 5.5349 5.5349 4.7799 Å, 54.62 54.62 90.00°
Last column: nearest neighbours and their distance in Å.
Sites, in units of the cell vectors:
Si  0.2119  0.6250  0.2500  2 H 1.79
H  0.5000  0.5000  0.0000  4 Si 1.79
H  0.2500  0.7500  0.5000  4 Si 1.79
Si  0.5381  0.1250  0.2500  2 H 1.79
Si  0.8750  0.7881  0.7500  2 H 1.79
Cr  0.7500  0.2500  0.5000  8 Si 2.42-2.64
Cr  0.0000  0.0000  0.0000  8 Si 2.42-2.64
Si  0.3750  0.4619  0.7500  2 H 1.79



Quick one: least stable of them? arrangement w